No. 1
The following is a DFT calculation (PBE) of a relaxed structure of SrLiGePd3.

abc: 6.697 6.697 6.161
angles: 90.00 90.00 124.30
Atoms (fractional coordinates):
Sr 0.206 0.794 0.750
Sr 0.794 0.206 0.250
Li 0.443 0.557 0.750
Li 0.557 0.443 0.250
Ge 0.125 0.875 0.250
Ge 0.875 0.125 0.750
Pd 0.224 0.224 0.000
Pd 0.224 0.224 0.500
Pd 0.335 0.665 0.250
Pd 0.665 0.335 0.750
Pd 0.776 0.776 0.000
Pd 0.776 0.776 0.500

Space-group type: No. 63
Formation enthalpy at 0 K in meV per atom: -480
Calculated volume in Å³/cell: 228
Spin magnetization in μB/f.u.: 0.00

---

No. 2
The following is a DFT calculation (PBE) of a relaxed structure of SrLiGe2Pd.

abc: 6.059 6.059 6.059
angles: 137.24 137.24 62.06
Atoms (fractional coordinates):
Sr 0.000 0.000 0.000
Li 0.250 0.750 0.500
Ge 0.379 0.379 0.000
Ge 0.621 0.621 0.000
Pd 0.750 0.250 0.500

Space-group type: No. 119
Formation enthalpy at 0 K in meV per atom: -594
Calculated volume in Å³/cell: 101
Spin magnetization in μB/f.u.: 0.00

---

No. 3
The following is a DFT calculation (PBE) of a relaxed structure of Sr2LiGe3Pd4.

abc: 4.429 4.429 10.225
angles: 90.00 90.00 90.00
Atoms (fractional coordinates):
Sr 0.000 0.500 0.249
Sr 0.500 0.000 0.751
Li 0.500 0.500 0.000
Ge 0.000 0.000 0.000
Ge 0.000 0.500 0.623
Ge 0.500 0.000 0.377
Pd 0.000 0.000 0.500
Pd 0.000 0.500 0.871
Pd 0.500 0.000 0.129
Pd 0.500 0.500 0.500

Space-group type: No. 115
Formation enthalpy at 0 K in meV per atom: -704
Calculated volume in Å³/cell: 201
Spin magnetization in μB/f.u.: 0.00

---

No. 4
The following is a DFT calculation (PBE) of a relaxed structure of Sr2LiGePd6.

abc: 6.509 6.545 6.673
angles: 61.27 61.37 60.49
Atoms (fractional coordinates):
Sr 0.220 0.220 0.342
Sr 0.780 0.780 0.658
Li 0.000 0.000 0.000
Ge 0.500 0.500 0.500
Pd 0.243 0.670 0.838
Pd 0.246 0.245 0.833
Pd 0.330 0.756 0.161
Pd 0.670 0.244 0.839
Pd 0.754 0.755 0.167
Pd 0.757 0.330 0.162

Space-group type: No. 2
Formation enthalpy at 0 K in meV per atom: -463
Calculated volume in Å³/cell: 206
Spin magnetization in μB/f.u.: 0.00

---

No. 5
The following is a DFT calculation (PBE) of a relaxed structure of SrLi2GePd2.

abc: 4.789 4.789 6.147
angles: 90.00 90.00 90.00
Atoms (fractional coordinates):
Sr 0.000 0.000 0.000
Li 0.500 0.500 0.289
Li 0.500 0.500 0.711
Ge 0.000 0.000 0.500
Pd 0.000 0.500 0.500
Pd 0.500 0.000 0.500

Space-group type: No. 123
Formation enthalpy at 0 K in meV per atom: -376
Calculated volume in Å³/cell: 141
Spin magnetization in μB/f.u.: 0.00

---

No. 6
The following is a DFT calculation (PBE) of a relaxed structure of LiTbGe2Pd5.

abc: 4.136 4.136 9.327
angles: 90.00 90.00 90.00
Atoms (fractional coordinates):
Li 0.000 0.000 0.000
Tb 0.000 0.000 0.500
Ge 0.500 0.500 0.131
Ge 0.500 0.500 0.869
Pd 0.000 0.500 0.274
Pd 0.000 0.500 0.726
Pd 0.500 0.000 0.274
Pd 0.500 0.000 0.726
Pd 0.500 0.500 0.500

Space-group type: No. 123
Formation enthalpy at 0 K in meV per atom: -660
Calculated volume in Å³/cell: 160
Spin magnetization in μB/f.u.: 0.00

---

No. 7
The following is a DFT calculation (PBE) of a relaxed structure of LiGe2TePd.

abc: 4.763 4.763 5.839
angles: 90.00 90.00 90.00
Atoms (fractional coordinates):
Li 0.000 0.000 0.000
Ge 0.000 0.500 0.500
Ge 0.500 0.000 0.500
Te 0.500 0.500 0.000
Pd 0.500 0.500 0.500

Space-group type: No. 123
E_form (uncorrected) in eV/atom: 0.054
Calculated volume in Å³/cell: 132
Spin magnetization in μB/f.u.: 0.00

---

No. 8
The following is a DFT calculation (PBE) of a relaxed structure of LiThGe2Pd4.

abc: 8.832 8.832 8.832
angles: 28.36 28.36 28.36
Atoms (fractional coordinates):
Li 0.000 0.000 0.000
Th 0.500 0.500 0.500
Ge 0.263 0.263 0.263
Ge 0.737 0.737 0.737
Pd 0.099 0.099 0.099
Pd 0.367 0.367 0.367
Pd 0.633 0.633 0.633
Pd 0.901 0.901 0.901

Space-group type: No. 166
Formation enthalpy at 0 K in meV per atom: -680
Calculated volume in Å³/cell: 137
Spin magnetization in μB/f.u.: 0.00

---

No. 9
The following is a DFT calculation (PBE) of a relaxed structure of LiTh2Ge4Pd3.

abc: 4.251 4.251 10.641
angles: 90.00 90.00 90.00
Atoms (fractional coordinates):
Li 0.000 0.000 0.000
Th 0.000 0.500 0.752
Th 0.500 0.000 0.248
Ge 0.000 0.000 0.500
Ge 0.000 0.500 0.134
Ge 0.500 0.000 0.866
Ge 0.500 0.500 0.500
Pd 0.000 0.500 0.368
Pd 0.500 0.000 0.632
Pd 0.500 0.500 0.000

Space-group type: No. 115
Formation enthalpy at 0 K in meV per atom: -745
Calculated volume in Å³/cell: 192
Spin magnetization in μB/f.u.: 0.00

---

No. 10
The following is a DFT calculation (PBE) of a relaxed structure of LiThGe2Pd.

abc: 6.146 6.146 6.146
angles: 140.20 140.20 57.55
Atoms (fractional coordinates):
Li 0.000 0.000 0.000
Th 0.750 0.250 0.500
Ge 0.134 0.634 0.500
Ge 0.366 0.866 0.500
Pd 0.500 0.500 0.000

Space-group type: No. 119
Formation enthalpy at 0 K in meV per atom: -760
Calculated volume in Å³/cell: 94
Spin magnetization in μB/f.u.: 0.00

---

No. 11
The following is a DFT calculation (PBE) of a relaxed structure of LiTh2Ge3Pd4.

abc: 4.334 4.334 10.093
angles: 90.00 90.00 90.00
Atoms (fractional coordinates):
Li 0.000 0.000 0.000
Th 0.000 0.500 0.744
Th 0.500 0.000 0.256
Ge 0.000 0.500 0.365
Ge 0.500 0.000 0.635
Ge 0.500 0.500 0.000
Pd 0.000 0.000 0.500
Pd 0.000 0.500 0.122
Pd 0.500 0.000 0.878
Pd 0.500 0.500 0.500

Space-group type: No. 115
Formation enthalpy at 0 K in meV per atom: -788
Calculated volume in Å³/cell: 190
Spin magnetization in μB/f.u.: 0.00

---

No. 12
The following is a DFT calculation (PBE) of a relaxed structure of LiTi2GePd.

abc: 4.758 4.758 4.368
angles: 90.00 90.00 90.00
Atoms (fractional coordinates):
Li 0.000 0.000 0.000
Ti 0.000 0.500 0.500
Ti 0.500 0.000 0.500
Ge 0.500 0.500 0.000
Pd 0.000 0.000 0.500

Space-group type: No. 123
Formation enthalpy at 0 K in meV per atom: 340
Calculated volume in Å³/cell: 99
Spin magnetization in μB/f.u.: 0.00